## CeCdAs2Pt2 (GGA-PBE)

Data for a relaxed CeCdAs2Pt2 crystal.

Cell lengths 4.2833, 4.2833, 7.5872 Å; angles 90.00, 90.00, 120.00 degrees
Space group P-3m1 (No. 164)
Inequivalent atoms, fractional coordinates:
1 Ce 0.0000 0.0000 0.0000
2 Cd 0.0000 0.0000 0.5000
3 As 0.3333 0.6667 0.7742
4 Pt 0.3333 0.6667 0.2867

* DOS(E_F): 5.532 states/eV/f.u.
* energy of formation: -0.716 eV per atom

***

## Re2HgSb (GGA-PBE)

Data for a relaxed Re2HgSb crystal.

Cell lengths 4.117, 4.117, 8.391 Å; angles 90.00, 90.00, 90.00 degrees
Space group I-4m2 (No. 119)
Inequivalent atoms, fractional coordinates:
1 Re 0.000 0.000 0.000
2 Re 0.000 0.500 0.250
3 Hg 0.000 0.000 0.500
4 Sb 0.000 0.500 0.750

* DOS(E_F): 3.892 states/eV/f.u.
* total energy: -6.3346 eV/atom

***

## Sc2AlPt3 (GGA-PBE)

Data for a relaxed Sc2AlPt3 crystal.

Cell lengths 5.4309, 5.4309, 12.1218 Å; angles 90.00, 90.00, 120.00 degrees
Space group R-3m (No. 166, hexagonal axes)
Inequivalent atoms, fractional coordinates:
1 Sc 0.0000 0.0000 0.1278
2 Al 0.0000 0.0000 0.5000
3 Pt 0.0000 0.5000 0.0000

* DOS(E_F): 3.475 states/eV/f.u.
* energy of formation: -1.146 eV per atom

***

## ScPaMn2S6 (GGA-PBE)

Data for a relaxed ScPaMn2S6 crystal.

Cell lengths 6.4696, 6.4696, 17.8751 Å; angles 90.00, 90.00, 120.00 degrees
Space group R3 (No. 146, hexagonal axes)
Inequivalent atoms, fractional coordinates:
1 Sc 0.0000 0.0000 0.0000
2 Pa 0.0000 0.0000 0.5005
3 Mn 0.0000 0.0000 0.1908
4 Mn 0.0000 0.0000 0.6914
5 S 0.0205 0.3481 0.2619
6 S 0.0299 0.6786 0.7592

* DOS(E_F): 0.033 states/eV/f.u.
* total energy: -7.0867 eV/atom

***

## SmScAl2 (GGA-PBE)

Data for a relaxed SmScAl2 crystal.

Cell lengths 3.537, 3.537, 7.033 Å; angles 90.00, 90.00, 90.00 degrees
Space group P4/mmm (No. 123)
Inequivalent atoms, fractional coordinates:
1 Sm 0.000 0.000 0.000
2 Sc 0.000 0.000 0.500
3 Al 0.500 0.500 0.281

* DOS(E_F): 1.588 states/eV/f.u.
* energy of formation: -0.410 eV per atom

***

## GaSn (GGA-PBE)

Data for a relaxed GaSn crystal.

Cell lengths 7.092, 7.092, 4.853 Å; angles 90.00, 90.00, 90.00 degrees
Space group P4_2/mnm (No. 136)
Inequivalent atoms, fractional coordinates:
1 Ga 0.230 0.230 0.000
2 Sn 0.156 0.844 0.000

* DOS(E_F): 0.509 states/eV/f.u.
* energy of formation: 0.166 eV per atom

***

## SnGe4Se5 (GGA-PBE)

Data for a relaxed SnGe4Se5 crystal.

Cell lengths 13.496, 4.058, 9.958 Å; angles 90.00, 119.53, 90.00 degrees
Space group C2/m (No. 12)
Inequivalent atoms, fractional coordinates:
1 Sn 0.000 0.000 0.000
2 Ge 0.102 0.500 0.405
3 Ge 0.198 0.000 0.796
4 Se 0.000 0.000 0.500
5 Se 0.108 0.500 0.896
6 Se 0.204 0.000 0.310

* DOS(E_F): 0.113 states/eV/f.u.
* total energy: -4.2404 eV/atom

***

## Mg2InAu (GGA-PBE)

Data for a relaxed Mg2InAu crystal.

Cell lengths 4.525, 4.525, 7.894 Å; angles 90.00, 90.00, 90.00 degrees
Space group I4/mmm (No. 139)
Inequivalent atoms, fractional coordinates:
1 Mg 0.000 0.500 0.250
2 In 0.000 0.000 0.000
3 Au 0.000 0.000 0.500

* DOS(E_F): 1.821 states/eV/f.u.
* energy of formation: -0.305 eV per atom

***

## CdTcP2Cl (GGA-PBE)

Data for a relaxed CdTcP2Cl crystal.

Cell lengths 4.959, 4.959, 5.098 Å; angles 90.00, 90.00, 90.00 degrees
Space group P4/mmm (No. 123)
Inequivalent atoms, fractional coordinates:
1 Cd 0.000 0.000 0.000
2 Tc 0.500 0.500 0.500
3 P 0.000 0.500 0.000
4 Cl 0.000 0.000 0.500

* DOS(E_F): 2.692 states/eV/f.u.
* total energy: -3.4276 eV/atom

***

## Ge4Ir2Ru (GGA-PBE)

Data for a relaxed Ge4Ir2Ru crystal.

Cell lengths 4.737, 4.737, 12.191 Å; angles 90.00, 90.00, 90.00 degrees
Space group I4/mmm (No. 139)
Inequivalent atoms, fractional coordinates:
1 Ge 0.000 0.000 0.199
2 Ge 0.000 0.500 0.000
3 Ir 0.000 0.000 0.391
4 Ru 0.000 0.000 0.000

* DOS(E_F): 3.661 states/eV/f.u.
* energy of formation: 0.356 eV per atom

***

## ScIr3N (GGA-PBE)

Data for a relaxed ScIr3N crystal.

Cell lengths 4.140, 4.140, 4.140 Å; angles 90.00, 90.00, 90.00 degrees
Space group Pm-3m (No. 221)
Inequivalent atoms, fractional coordinates:
1 Sc 0.000 0.000 0.000
2 Ir 0.000 0.500 0.500
3 N 0.500 0.500 0.500

* DOS(E_F): 4.927 states/eV/f.u.
* total energy: -8.2561 eV/atom

***

## CdH2Rh2 (GGA-PBE)

Data for a relaxed CdH2Rh2 crystal.

Cell lengths 2.947, 2.947, 6.393 Å; angles 90.00, 90.00, 90.00 degrees
Space group P4/mmm (No. 123)
Inequivalent atoms, fractional coordinates:
1 Cd 0.000 0.000 0.000
2 H 0.000 0.500 0.500
3 Rh 0.500 0.500 0.297

* DOS(E_F): 5.555 states/eV/f.u.
* total energy: -4.3781 eV/atom